TbCo2GeO6 | PBE+U | relaxed

abc: 5.2135 5.2236 5.4771
angles: 90.12 118.41 119.86
With the nearest neighbours (Å) after each atom.
Atoms (fractional coordinates):
Tb1 0.0000 0.0000 0.0000  6 O 2.19-2.40
Co1 0.5747 0.7877 0.3572  6 O 2.00-2.17
Co2 0.5801 0.2910 0.8662  6 O 1.94-2.03
Ge1 0.9783 0.4898 0.4635  6 O 1.92-2.00
O1 0.0636 0.4291 0.1574  2 Co 1.94-2.01, 1 Ge 1.99
O2 0.0947 0.2150 0.6402  1 Ge 1.92, 1 Co 2.03
O3 0.4297 0.8811 0.6410  1 Ge 1.92, 1 Co 2.03
O4 0.5234 0.0989 0.1562  2 Co 1.94-2.02, 1 Ge 2.00
O5 0.7327 0.6355 0.1583  2 Co 1.94-2.00, 1 Ge 1.99
O6 0.7614 0.5497 0.6400  1 Ge 1.92, 1 Co 2.03

## Properties
Total magnetic moment ... 3.0 Bohr magnetons per cell
Calculated total energy ... -6.67 eV per atom